(1)
# CsCrAg

A relaxed CsCrAg crystal (PBE, the Alexandria database).

```
12
Lattice="9.514 0.000 0.000 0.000 3.237 0.000 0.000 0.000 12.377" Properties=species:S:1:pos:R:3 pbc="T T T"
Ag 2.285 2.428 7.152
Cr 0.566 0.809 5.806
Cs 8.664 2.428 2.244
Ag 2.473 0.809 0.964
Cr 4.191 2.428 11.995
Cs 3.907 2.428 3.945
Ag 7.230 0.809 5.225
Cr 8.948 2.428 6.571
Cs 5.607 0.809 8.432
Ag 7.042 2.428 11.414
Cs 0.850 0.809 10.134
Cr 5.323 0.809 0.382
```

Properties
E_form   0.83 eV per atom
N(E_F)   2.96 states/eV/f.u.
M_tot   0.00 μB per formula unit
Energy above the lowest structure with this stoichiometry   0.0 meV per atom
Total DFT energy (no corrections)   -43.4 eV/cell
Symmetry   No. 62



(2)
# Mg2Cu2Pd

A relaxed Mg2Cu2Pd crystal (PBE, the Alexandria database).

```
10
Lattice="6.947 0.000 0.000 0.000 6.947 0.000 0.000 0.000 3.245" Properties=species:S:1:pos:R:3 pbc="T T T"
Cu 0.850 2.624 0.000
Mg 5.716 2.243 1.623
Pd 3.474 3.474 0.000
Mg 4.705 5.716 1.623
Mg 2.243 1.231 1.623
Cu 6.098 4.323 0.000
Cu 2.624 6.098 0.000
Mg 1.231 4.705 1.623
Pd 0.000 0.000 0.000
Cu 4.323 0.850 0.000
```

Properties
E_form   -0.20 eV per atom
N(E_F)   1.63 states/eV/f.u.
M_tot   0.00 μB per formula unit
Energy above the lowest structure with this stoichiometry   93.0 meV per atom
Total DFT energy (no corrections)   -35.1 eV/cell
Symmetry   No. 127



(3)
# Sc4AlAg2Pd

A relaxed Sc4AlAg2Pd crystal (PBE, the Alexandria database).

```
8
Lattice="-1.055 -0.954 -4.590 2.466 -3.367 -2.382 -4.693 -6.858 -0.011" Properties=species:S:1:pos:R:3 pbc="T T T"
Ag -2.568 -8.497 -5.190
Pd -1.641 -5.590 -3.492
Sc -3.505 -7.546 -2.656
Al 0.000 0.000 0.000
Sc -2.710 -4.777 -0.899
Sc -0.572 -6.403 -6.084
Ag -0.714 -2.684 -1.793
Sc 0.223 -3.634 -4.327
```

Properties
E_form   -0.47 eV per atom
N(E_F)   7.17 states/eV/f.u.
M_tot   0.00 μB per formula unit
Total DFT energy (no corrections)   -43.8 eV/cell
Symmetry   No. 166